# Zn2SiW, optimized geometry, DFT PBE
# Formation energy from raw total energies: 0.3120 eV/atom
# Total moment: 0.00 μB/cell
# Crystal system: tetragonal
# SG: P4/mmm, No. 123
# N(E_F): 3.07 states/eV per cell
# Electronic total energy: -19.676 eV/cell
data_Zn2SiW
_chemical_formula_sum 'Zn2 Si1 W1'
_cell_length_a 3.448
_cell_length_b 3.448
_cell_length_c 5.044
_cell_angle_alpha 90.00
_cell_angle_beta 90.00
_cell_angle_gamma 90.00
_space_group_name_H-M_alt 'P 1'
_space_group_IT_number 1
loop_
_space_group_symop_operation_xyz
'x,y,z'
loop_
_atom_site_label
_atom_site_type_symbol
_atom_site_fract_x
_atom_site_fract_y
_atom_site_fract_z
Si1 Si 0.500 0.500 0.250
W1 W 0.500 0.500 0.750
Zn1 Zn 0.000 0.000 0.998
Zn2 Zn 0.000 0.000 0.502

# ReRh3C, optimized geometry, DFT PBE
# Formation energy: 2.538 eV/atom
# Total moment: 0.00 μB/cell
# Crystal system: cubic
# SG: Pm-3m, No. 221
# N(E_F): 5.31 states/eV per cell
# Electronic total energy: -31.039 eV/cell
data_ReRh3C
_chemical_formula_sum 'Re1 Rh3 C1'
_cell_length_a 4.682
_cell_length_b 4.682
_cell_length_c 4.682
_cell_angle_alpha 90.00
_cell_angle_beta 90.00
_cell_angle_gamma 90.00
_space_group_name_H-M_alt 'P 1'
_space_group_IT_number 1
loop_
_space_group_symop_operation_xyz
'x,y,z'
loop_
_atom_site_label
_atom_site_type_symbol
_atom_site_fract_x
_atom_site_fract_y
_atom_site_fract_z
Re1 Re 0.000 0.000 0.000
C1 C 0.500 0.500 0.500
Rh1 Rh 0.000 0.500 0.000
Rh2 Rh 0.000 0.000 0.500
Rh3 Rh 0.500 0.000 0.000

# ScCdMo2, optimized geometry, DFT PBE
# Formation energy: 0.035 eV/atom
# Total moment: 0.00 μB/cell
# Crystal system: tetragonal
# SG: P4mm, No. 99
# N(E_F): 4.30 states/eV per cell
# Electronic total energy: -28.768 eV/cell
data_ScCdMo2
_chemical_formula_sum 'Sc1 Cd1 Mo2'
_cell_length_a 3.265
_cell_length_b 3.265
_cell_length_c 6.986
_cell_angle_alpha 90.00
_cell_angle_beta 90.00
_cell_angle_gamma 90.00
_space_group_name_H-M_alt 'P 1'
_space_group_IT_number 1
loop_
_space_group_symop_operation_xyz
'x,y,z'
loop_
_atom_site_label
_atom_site_type_symbol
_atom_site_fract_x
_atom_site_fract_y
_atom_site_fract_z
Cd1 Cd 0.500 0.500 0.767
Mo1 Mo 0.000 0.000 0.036
Mo2 Mo 0.500 0.500 0.222
Sc1 Sc 0.000 0.000 0.475